Record 1
A relaxed LaDyCl2 crystal. Source: Alexandria via LeMat-Bulk, functional PBE.

Its uncorrected formation energy is -1072 meV/atom.

The structure belongs to space group R-3m (No. 166, hexagonal axes); the cell edges are 4.7709, 4.7709 and 20.9946 Å and the angles 90.00°, 90.00° and 120.00°. The inequivalent atoms are La at (0.0000, 0.0000, 0.0000), Dy at (0.0000, 0.0000, 0.5000) and Cl at (0.0000, 0.0000, 0.3741).

***

Record 2
A relaxed AsPt2Au crystal. Source: Alexandria via LeMat-Bulk, functional PBE.

As for the formation energy: -0.03 eV per atom.

The structure belongs to space group P4/mmm (No. 123); the cell edges are 3.0831, 3.0831 and 7.0257 Å and the angles 90.00°, 90.00° and 90.00°. The inequivalent atoms are As at (0.0000, 0.0000, 0.0000), Pt at (0.5000, 0.5000, 0.2290) and Au at (0.0000, 0.0000, 0.5000).

***

Record 3
A relaxed LiZn6Ag6 crystal. Source: Alexandria via LeMat-Bulk, functional PBE.

As for the formation energy: -0.07 eV per atom.

The structure belongs to space group Immm (No. 71); the cell edges are 5.1913, 8.9972 and 9.3396 Å and the angles 90.00°, 90.00° and 90.00°. The inequivalent atoms are Li at (0.0000, 0.0000, 0.0000), Zn at (0.0000, 0.5000, 0.2659), Zn at (0.2500, 0.2500, 0.2500), Ag at (0.0000, 0.0000, 0.3488), Ag at (0.0000, 0.3218, 0.5000) and Ag at (0.0000, 0.3407, 0.0000).

***

Record 4
A relaxed Cu2Ge2W crystal. Source: Alexandria via LeMat-Bulk, functional PBE.

As for the formation energy: 0.30 eV per atom.

The structure belongs to space group P4/mbm (No. 127); the cell edges are 7.0587, 7.0587 and 2.9346 Å and the angles 90.00°, 90.00° and 90.00°. The inequivalent atoms are Cu at (0.1349, 0.3651, 0.0000), Ge at (0.1614, 0.6614, 0.5000) and W at (0.0000, 0.0000, 0.5000).

***

| no. | D(E_F) (states/eV per atom) | total moment (μB per formula unit) |
| --- | --- | --- |
| 1 | 1.6368 | 0.008 |
| 2 | 0.5356 | 0.000 |
| 3 | 0.3199 | 0.000 |
| 4 | 0.3546 | 0.000 |